1.
DFT (PBE) results for NpCu2Au9 after structural relaxation.

Output
E_tot in eV per atom: -4.24
Energy relative to the elements in eV/atom: -0.025
Magnetization in μB per atom: 0.37
Calculated density in g cm⁻³: 15.685

a = 7.216 Å, b = 8.701 Å, c = 8.701 Å
α = 80.10°, β = 65.50°, γ = 65.50°
Site moments in Bohr magnetons follow the coordinates.
Positions (direct):
Au1 0.751 0.817 0.575  0.00
Np1 0.250 0.500 0.500  4.14
Au2 0.432 0.425 0.817  0.00
Au3 0.607 0.075 0.317  0.00
Au4 0.000 0.000 0.000  0.01
Au5 0.076 0.317 0.925  0.00
Au6 0.751 0.575 0.817  0.00
Au7 0.143 0.183 0.425  0.00
Cu1 0.875 0.750 0.250  0.00
Au8 0.607 0.317 0.075  0.00
Cu2 0.875 0.250 0.750  0.00
Au9 0.076 0.925 0.317  0.00
Au10 0.318 0.683 0.075  0.00
Au11 0.999 0.683 0.925  0.00
Au12 0.999 0.925 0.683  0.00
Au13 0.674 0.183 0.575  0.00
Cu3 0.375 0.750 0.750  0.00
Cu4 0.875 0.250 0.250  0.00
Au14 0.143 0.425 0.183  0.00
Au15 0.318 0.075 0.683  0.00
Np2 0.500 0.000 0.000  4.14
Au16 0.432 0.817 0.425  0.00
Au17 0.674 0.575 0.183  0.00
Au18 0.750 0.500 0.500  0.01



2.
DFT (PBE) results for NpCuAu after structural relaxation.

Output
E_tot in eV per atom: -6.80
Energy relative to the elements in eV/atom: -0.033
Magnetization in μB per atom: 1.43
Calculated density in g cm⁻³: 14.382

a = 2.959 Å, b = 4.734 Å, c = 4.734 Å
α = 120.00°, β = 90.00°, γ = 90.00°
Site moments in Bohr magnetons follow the coordinates.
Positions (direct):
Np1 0.667 0.333 0.667  3.98
Cu1 0.167 0.000 0.000  0.02
Au1 0.167 0.667 0.333  0.02



3.
DFT (PBE) results for NpCuAu after structural relaxation.

Output
E_tot in eV per atom: -6.71
Energy relative to the elements in eV/atom: 0.065
Magnetization in μB per atom: 1.47
Calculated density in g cm⁻³: 14.539

a = 3.183 Å, b = 3.183 Å, c = 6.044 Å
α = 105.27°, β = 105.27°, γ = 90.00°
Site moments in Bohr magnetons follow the coordinates.
Positions (direct):
Cu1 0.318 0.318 0.635  0.02
Np1 0.994 0.994 0.989  4.06
Au1 0.688 0.688 0.376  0.01